TcIrPb | SCAN | single point on PBEsol structure

```
3
Lattice="-1.471 1.471 6.032 1.471 -1.471 6.032 1.471 1.471 -6.032" Properties=species:S:1:pos:R:3 pbc="T T T"
Tc 0.000 0.000 0.000
Ir 0.000 0.000 7.562
Pb 0.000 0.000 3.831
```

Output
As for the energy of formation from the pure elements: 0.421 eV/atom. Its magnetization is 0.000 μB/cell.